1.
Compound: Li8NiO5F
Source: Alexandria
Functional: PBE with a Hubbard U
Structure: relaxed

## Properties
The volume is 9.76 Å³/atom.

a = 5.5589 Å, b = 5.5589 Å, c = 10.9368 Å
α = 90.00°, β = 90.00°, γ = 120.00°
Closest atoms and distances in Å follow each position.
Space group P6_3 (No. 173)
Symmetry-distinct sites (fractional):
1 Li 0.0172 0.6373 0.0000 x6  3 O 1.92-2.13, 1 F 2.05
2 Li 0.0225 0.3126 0.1508 x6  3 O 1.92-2.01
3 Li 0.3333 0.6667 0.2925 x2  3 O 1.93
4 Li 0.3333 0.6667 0.8094 x2  3 O 1.89
5 Ni 0.0000 0.0000 0.3682 x2  4 O 1.84-1.98
6 O 0.0000 0.0000 0.0492 x2  1 Ni 1.98, 6 Li 2.01-2.13
7 O 0.0016 0.6810 0.8262 x6  1 Ni 1.84, 4 Li 1.89-1.93
8 O 0.3333 0.6667 0.0909 x2  6 Li 1.95-1.97
9 F 0.3333 0.6667 0.5845 x2  6 Li 2.05-2.16

2.
Compound: Li8NiO5F
Source: Alexandria
Functional: PBE with a Hubbard U
Structure: relaxed

## Properties
The volume is 8.81 Å³/atom.

a = 5.3465 Å, b = 5.3821 Å, c = 5.8418 Å
α = 91.09°, β = 115.72°, γ = 115.57°
Closest atoms and distances in Å follow each position.
Space group P1 (No. 1)
Symmetry-distinct sites (fractional):
1 Li 0.0000 0.0000 0.0000 x1  4 O 2.06-2.21, 1 F 2.24
2 Li 0.0342 0.1578 0.6373 x1  3 O 1.88-1.92, 1 F 1.95
3 Li 0.1705 0.4285 0.3478 x1  3 O 1.88-1.99, 1 F 1.90
4 Li 0.4048 0.8696 0.6458 x1  3 O 1.91-1.94
5 Li 0.5198 0.1073 0.3424 x1  1 F 1.92, 3 O 1.92-2.08
6 Li 0.5886 0.3177 0.9597 x1  3 O 1.99-2.12
7 Li 0.6814 0.5284 0.6271 x1  4 O 1.91-2.10
8 Li 0.8495 0.7309 0.3300 x1  3 O 1.91-2.08, 1 F 1.95
9 Ni 0.2183 0.5961 0.9556 x1  5 O 1.98-2.07
10 O 0.0961 0.8500 0.7390 x1  5 Li 1.88-2.08, 1 Ni 2.00
11 O 0.1411 0.7394 0.2208 x1  4 Li 1.88-2.08, 1 Ni 1.99
12 O 0.3930 0.5282 0.7382 x1  5 Li 1.91-1.99, 1 Ni 1.98
13 O 0.4338 0.4039 0.2149 x1  5 Li 1.92-2.12, 1 Ni 2.07
14 O 0.7828 0.2321 0.7497 x1  5 Li 1.90-2.08, 1 Ni 2.06
15 F 0.8093 0.0670 0.2552 x1  4 Li 1.90-1.95

Relative energies, eV/atom: 1 0.000; 2 0.049.